## CaScCr2O8 (PBE with a Hubbard U)

Data for CaScCr2O8 after structural relaxation.

Results
Magnetization in Bohr magnetons per cell: 1.0
Calculated volume in Å³ per cell: 154.5
Crystal system: tetragonal
Final energy in eV per atom: -7.2891

a b c (Å): 5.8745 5.8745 5.8745
angles (deg): 106.24 106.24 116.15
Sites, in units of the cell vectors:
Ca: 0.0000 0.0000 0.0000
Sc: 0.7500 0.2500 0.5000
Cr: 0.2500 0.7500 0.5000
Cr: 0.5000 0.5000 0.0000
O: 0.0794 0.3988 0.3194
O: 0.0794 0.7600 0.6806
O: 0.1362 0.3344 0.8018
O: 0.2400 0.9206 0.3194
O: 0.5326 0.3344 0.1982
O: 0.6012 0.9206 0.6806
O: 0.6656 0.4674 0.8018
O: 0.6656 0.8638 0.1982